Record 1
# NpMn2Se3, optimized geometry, DFT PBE
# Size of the total moment, Bohr magnetons per cell: 29.05
# ΔE_f (raw), eV per atom: -0.46
# DOS at the Fermi energy, states/eV/cell: 37.6
data_NpMn2Se3
_chemical_formula_sum 'Np4 Mn8 Se12'
_cell_length_a 20.629
_cell_length_b 3.902
_cell_length_c 7.531
_cell_angle_alpha 90.00
_cell_angle_beta 104.85
_cell_angle_gamma 90.00
_space_group_name_H-M_alt 'C 1 2/m 1'
_space_group_IT_number 12
loop_
_space_group_symop_operation_xyz
'x,y,z'
'-x,-y,-z'
'-x,y,-z'
'x,-y,z'
'x+1/2,y+1/2,z'
'-x+1/2,-y+1/2,-z'
'-x+1/2,y+1/2,-z'
'x+1/2,-y+1/2,z'
loop_
_atom_site_label
_atom_site_type_symbol
_atom_site_fract_x
_atom_site_fract_y
_atom_site_fract_z
Np1 Np 0.164 0.000 0.026
Mn1 Mn 0.049 0.500 0.165
Mn2 Mn 0.229 0.000 0.425
Se1 Se 0.070 0.500 0.847
Se2 Se 0.109 0.000 0.337
Se3 Se 0.244 0.000 0.757

=====

Record 2
# PmAg2GeO4, optimized geometry, DFT PBE
# Size of the total moment, Bohr magnetons per cell: 0.00
# ΔE_f (raw), eV per atom: -1.44
# DOS at the Fermi energy, states/eV/cell: 5.6
data_PmAg2GeO4
_chemical_formula_sum 'Pm4 Ag8 Ge4 O16'
_cell_length_a 7.079
_cell_length_b 7.087
_cell_length_c 10.796
_cell_angle_alpha 90.00
_cell_angle_beta 90.00
_cell_angle_gamma 90.00
_space_group_name_H-M_alt 'F m m 2'
_space_group_IT_number 42
_space_group_name_Hall 'F 2 -2'
loop_
_atom_site_label
_atom_site_type_symbol
_atom_site_fract_x
_atom_site_fract_y
_atom_site_fract_z
Pm1 Pm 0.000 0.000 0.000
Ag1 Ag 0.250 0.250 0.250
Ge1 Ge 0.000 0.000 0.500
O1 O 0.000 0.211 0.592
O2 O 0.212 0.000 0.407

=====

Record 3
# LaPr2Lu, optimized geometry, DFT PBE
# Calculated formation energy, eV/atom: 0.013
# Size of the total moment, Bohr magnetons per cell: 0.00
# ΔE to the lowest computed polymorph, meV per atom: 0.0
# DOS at the Fermi energy, states/eV/cell: 5.4
data_LaPr2Lu
_chemical_formula_sum 'La1 Pr2 Lu1'
_cell_length_a 5.158
_cell_length_b 5.158
_cell_length_c 5.181
_cell_angle_alpha 90.00
_cell_angle_beta 90.00
_cell_angle_gamma 90.00
_space_group_name_H-M_alt 'P 4/m m m'
_space_group_IT_number 123
_space_group_name_Hall '-P 4 2'
loop_
_atom_site_label
_atom_site_type_symbol
_atom_site_fract_x
_atom_site_fract_y
_atom_site_fract_z
La1 La 0.000 0.000 0.000
Pr1 Pr 0.000 0.500 0.500
Lu1 Lu 0.500 0.500 0.000

=====

Record 4
# Ba2NbPt, optimized geometry, DFT PBE
# Calculated formation energy, eV/atom: 0.286
# Size of the total moment, Bohr magnetons per cell: 10.19
# ΔE to the lowest computed polymorph, meV per atom: 0.0
# DOS at the Fermi energy, states/eV/cell: 13.7
data_Ba2NbPt
_chemical_formula_sum 'Ba8 Nb4 Pt4'
_cell_length_a 11.876
_cell_length_b 11.876
_cell_length_c 5.062
_cell_angle_alpha 90.00
_cell_angle_beta 90.00
_cell_angle_gamma 90.00
_space_group_name_H-M_alt 'I -4 2 d'
_space_group_IT_number 122
_space_group_name_Hall 'I -4 2bw'
loop_
_atom_site_label
_atom_site_type_symbol
_atom_site_fract_x
_atom_site_fract_y
_atom_site_fract_z
Ba1 Ba 0.087 0.750 0.125
Nb1 Nb 0.000 0.000 0.500
Pt1 Pt 0.000 0.000 0.000

=====

Record 5
# Pm2NdF, optimized geometry, DFT PBE
# Size of the total moment, Bohr magnetons per cell: 0.00
# ΔE_f (raw), eV per atom: -0.93
# DOS at the Fermi energy, states/eV/cell: 20.3
data_Pm2NdF
_chemical_formula_sum 'Pm6 Nd3 F3'
_cell_length_a 3.7349
_cell_length_b 3.7349
_cell_length_c 28.4650
_cell_angle_alpha 90.00
_cell_angle_beta 90.00
_cell_angle_gamma 120.00
_space_group_name_H-M_alt 'R -3 m'
_space_group_IT_number 166
_space_group_name_Hall '-R 3 2"'
loop_
_atom_site_label
_atom_site_type_symbol
_atom_site_fract_x
_atom_site_fract_y
_atom_site_fract_z
Pm1 Pm 0.0000 0.0000 0.1180
Nd1 Nd 0.0000 0.0000 0.0000
F1 F 0.0000 0.0000 0.5000

=====

Record 6
# NaMgSbS3, optimized geometry, DFT PBE
# Size of the total moment, Bohr magnetons per cell: 0.00
# ΔE_f (raw), eV per atom: -0.88
# DOS at the Fermi energy, states/eV/cell: 0.0
data_NaMgSbS3
_chemical_formula_sum 'Na2 Mg2 Sb2 S6'
_cell_length_a 8.078
_cell_length_b 3.955
_cell_length_c 10.650
_cell_angle_alpha 90.00
_cell_angle_beta 97.04
_cell_angle_gamma 90.00
_space_group_name_H-M_alt 'P 1 21/m 1'
_space_group_IT_number 11
loop_
_space_group_symop_operation_xyz
'x,y,z'
'-x,-y,-z'
'-x,y+1/2,-z'
'x,-y+1/2,z'
loop_
_atom_site_label
_atom_site_type_symbol
_atom_site_fract_x
_atom_site_fract_y
_atom_site_fract_z
Na1 Na 0.249 0.250 0.247
Mg1 Mg 0.112 0.750 0.591
Sb1 Sb 0.359 0.250 0.863
S1 S 0.050 0.750 0.357
S2 S 0.341 0.750 0.065
S3 S 0.398 0.750 0.699

=====

Record 7
# Ti6GaTc2, optimized geometry, DFT PBE
# Calculated formation energy, eV/atom: -0.370
# Size of the total moment, Bohr magnetons per cell: 0.00
# DOS at the Fermi energy, states/eV/cell: 7.7
data_Ti6GaTc2
_chemical_formula_sum 'Ti6 Ga1 Tc2'
_cell_length_a 4.4669
_cell_length_b 4.4669
_cell_length_c 8.2258
_cell_angle_alpha 90.00
_cell_angle_beta 90.00
_cell_angle_gamma 120.00
_space_group_name_H-M_alt 'P -3 m 1'
_space_group_IT_number 164
_space_group_name_Hall '-P 3 2"'
loop_
_atom_site_label
_atom_site_type_symbol
_atom_site_fract_x
_atom_site_fract_y
_atom_site_fract_z
Ti1 Ti 0.0000 0.0000 0.1699
Ti2 Ti 0.3333 0.6667 0.0249
Ti3 Ti 0.3333 0.6667 0.3822
Ga1 Ga 0.0000 0.0000 0.5000
Tc1 Tc 0.3333 0.6667 0.7110

=====

Record 8
# Sb2PtCl, optimized geometry, DFT PBE
# Size of the total moment, Bohr magnetons per cell: 0.00
# ΔE_f (raw), eV per atom: -0.19
# ΔE to the lowest computed polymorph, meV per atom: 293.1
# DOS at the Fermi energy, states/eV/cell: 3.1
data_Sb2PtCl
_chemical_formula_sum 'Sb4 Pt2 Cl2'
_cell_length_a 4.999
_cell_length_b 5.110
_cell_length_c 7.861
_cell_angle_alpha 90.00
_cell_angle_beta 90.00
_cell_angle_gamma 90.00
_space_group_name_H-M_alt 'A m m 2'
_space_group_IT_number 38
loop_
_space_group_symop_operation_xyz
'x,y,z'
'-x,-y,z'
'-x,y,z'
'x,-y,z'
'x,y+1/2,z+1/2'
'-x,-y+1/2,z+1/2'
'-x,y+1/2,z+1/2'
'x,-y+1/2,z+1/2'
loop_
_atom_site_label
_atom_site_type_symbol
_atom_site_fract_x
_atom_site_fract_y
_atom_site_fract_z
Sb1 Sb 0.000 0.000 0.000
Sb2 Sb 0.500 0.000 0.247
Pt1 Pt 0.500 0.000 0.882
Cl1 Cl 0.000 0.000 0.557

=====

Record 9
# Tb3PmSm2Se6, optimized geometry, DFT PBE
# Size of the total moment, Bohr magnetons per cell: 0.00
# ΔE_f (raw), eV per atom: -1.80
# DOS at the Fermi energy, states/eV/cell: 11.3
data_Tb3PmSm2Se6
_chemical_formula_sum 'Tb6 Pm2 Sm4 Se12'
_cell_length_a 7.123
_cell_length_b 12.414
_cell_length_c 7.204
_cell_angle_alpha 90.00
_cell_angle_beta 109.36
_cell_angle_gamma 90.00
_space_group_name_H-M_alt 'C 1 2/m 1'
_space_group_IT_number 12
loop_
_space_group_symop_operation_xyz
'x,y,z'
'-x,-y,-z'
'-x,y,-z'
'x,-y,z'
'x+1/2,y+1/2,z'
'-x+1/2,-y+1/2,-z'
'-x+1/2,y+1/2,-z'
'x+1/2,-y+1/2,z'
loop_
_atom_site_label
_atom_site_type_symbol
_atom_site_fract_x
_atom_site_fract_y
_atom_site_fract_z
Tb1 Tb 0.000 0.000 0.000
Tb2 Tb 0.000 0.334 0.000
Pm1 Pm 0.000 0.500 0.500
Sm1 Sm 0.000 0.167 0.500
Se1 Se 0.247 0.167 0.242
Se2 Se 0.249 0.500 0.243

=====

Record 10
# TbCeAs2Pd2, optimized geometry, DFT PBE
# Calculated formation energy, eV/atom: -1.141
# Size of the total moment, Bohr magnetons per cell: 1.09
# DOS at the Fermi energy, states/eV/cell: 7.3
data_TbCeAs2Pd2
_chemical_formula_sum 'Tb1 Ce1 As2 Pd2'
_cell_length_a 4.3545
_cell_length_b 4.3545
_cell_length_c 7.6652
_cell_angle_alpha 90.00
_cell_angle_beta 90.00
_cell_angle_gamma 120.00
_space_group_name_H-M_alt 'P -3 m 1'
_space_group_IT_number 164
_space_group_name_Hall '-P 3 2"'
loop_
_atom_site_label
_atom_site_type_symbol
_atom_site_fract_x
_atom_site_fract_y
_atom_site_fract_z
Tb1 Tb 0.0000 0.0000 0.0000
Ce1 Ce 0.0000 0.0000 0.5000
As1 As 0.3333 0.6667 0.7479
Pd1 Pd 0.3333 0.6667 0.2356

=====

Record 11
# LaCr2InHg, optimized geometry, DFT PBE
# Calculated formation energy, eV/atom: 1.691
# Size of the total moment, Bohr magnetons per cell: 0.21
# DOS at the Fermi energy, states/eV/cell: 9.2
data_LaCr2InHg
_chemical_formula_sum 'La1 Cr2 In1 Hg1'
_cell_length_a 4.632
_cell_length_b 4.632
_cell_length_c 6.051
_cell_angle_alpha 90.00
_cell_angle_beta 90.00
_cell_angle_gamma 90.00
_space_group_name_H-M_alt 'P 4/m m m'
_space_group_IT_number 123
_space_group_name_Hall '-P 4 2'
loop_
_atom_site_label
_atom_site_type_symbol
_atom_site_fract_x
_atom_site_fract_y
_atom_site_fract_z
La1 La 0.000 0.000 0.000
Cr1 Cr 0.000 0.500 0.000
In1 In 0.500 0.500 0.500
Hg1 Hg 0.000 0.000 0.500

=====

Record 12
# SrLaBr5, optimized geometry, DFT PBE
# Size of the total moment, Bohr magnetons per cell: 0.00
# ΔE_f (raw), eV per atom: -2.03
# ΔE to the lowest computed polymorph, meV per atom: 0.0
# DOS at the Fermi energy, states/eV/cell: 0.0
data_SrLaBr5
_chemical_formula_sum 'Sr2 La2 Br10'
_cell_length_a 8.490
_cell_length_b 4.463
_cell_length_c 13.145
_cell_angle_alpha 90.00
_cell_angle_beta 93.51
_cell_angle_gamma 90.00
_space_group_name_H-M_alt 'P 1 21/m 1'
_space_group_IT_number 11
loop_
_space_group_symop_operation_xyz
'x,y,z'
'-x,-y,-z'
'-x,y+1/2,-z'
'x,-y+1/2,z'
loop_
_atom_site_label
_atom_site_type_symbol
_atom_site_fract_x
_atom_site_fract_y
_atom_site_fract_z
Sr1 Sr 0.043 0.250 0.343
La1 La 0.488 0.750 0.176
Br1 Br 0.128 0.750 0.197
Br2 Br 0.164 0.250 0.572
Br3 Br 0.257 0.750 0.821
Br4 Br 0.346 0.250 0.038
Br5 Br 0.421 0.250 0.332